Compound: Pr3PSe2
Source: Alexandria
Functional: PBE-GGA
Structure: relaxed

The structure in POSCAR format:
```
Pr3PSe2
1.0
4.214 0.000 0.000
0.000 5.985 0.000
-2.107 -2.992 6.450
Pr P Se
3 1 2
Direct
0.846 0.346 0.192 Pr
0.154 0.654 0.808 Pr
0.500 0.000 0.500 Pr
0.500 0.500 0.500 P
0.831 0.831 0.161 Se
0.169 0.169 0.839 Se
```

Properties
Formation energy (no corrections), eV per atom: -1.80
Total magnetic moment, μB per cell: 0.00
Space-group type: No. 71